# GGA-PBEsol TmInAg2, relaxed
data_TmInAg2
_chemical_formula_sum 'Tm4 In4 Ag8'
_cell_length_a 6.807
_cell_length_b 6.807
_cell_length_c 6.807
_cell_angle_alpha 90.00
_cell_angle_beta 90.00
_cell_angle_gamma 90.00
_symmetry_space_group_name_H-M 'F m -3 m'
_symmetry_Int_Tables_number 225
_symmetry_space_group_name_Hall '-F 4 2 3'
loop_
_atom_site_label
_atom_site_fract_x
_atom_site_fract_y
_atom_site_fract_z
Tm1 0.000 0.000 0.000
In1 0.000 0.000 0.500
Ag1 0.250 0.250 0.250
# V: 19.710 Å³/atom
# Size of the total moment: 0.000 μB/f.u.
# Calculated formation energy: -0.396 eV/atom